Crystalline KCoNiF6 at its relaxed geometry, computed with PBE with a Hubbard U.

Geometry as POSCAR:
```
KCoNiF6
1.0
-0.360 5.142 -4.947
0.305 -5.008 -5.227
-5.068 -0.401 5.111
K Co Ni F
2 2 2 12
Direct
0.888 0.638 0.777
0.112 0.362 0.223
0.500 0.500 0.000
0.500 0.000 0.000
0.500 0.000 0.500
0.000 0.000 0.500
0.443 0.693 0.886
0.832 0.082 0.665
0.820 0.084 0.252
0.432 0.668 0.252
0.432 0.084 0.252
0.820 0.668 0.252
0.557 0.307 0.114
0.168 0.918 0.335
0.180 0.916 0.748
0.568 0.332 0.748
0.568 0.916 0.748
0.180 0.332 0.748
```

Density of states at the Fermi level   3.9 states/eV per cell
Calculated total energy   -4.399 eV/atom
Magnetization   8.0 μB per cell